No. 1
12
Lattice="2.940 0.000 0.000 0.000 4.864 0.000 0.000 0.000 8.935" Properties=species:S:1:pos:R:3 comment="CrReB | Alexandria via LeMat-Bulk | PBE-GGA | optimized geometry" e_above_lowest_polymorph_mev_per_atom=62 density_g_cm3=12.945 m_tot_mub_per_fu=0.000 ef_ev_per_atom=-0.2668 space_group=Immm pbc="T T T"
Cr 0.000 1.159 0.000
Cr 0.000 3.704 0.000
Cr 1.470 1.272 4.468
Cr 1.470 3.591 4.468
Re 0.000 2.432 2.526
Re 0.000 2.432 6.410
Re 1.470 0.000 1.942
Re 1.470 0.000 6.993
B 0.000 0.000 3.579
B 0.000 0.000 5.357
B 1.470 2.432 0.889
B 1.470 2.432 8.047

No. 2
10
Lattice="7.816 0.000 0.000 0.000 7.816 0.000 0.000 0.000 2.783" Properties=species:S:1:pos:R:3 comment="CaV2Pd2 | Alexandria via LeMat-Bulk | PBE-GGA | optimized geometry" density_g_cm3=6.932 m_tot_mub_per_fu=0.000 ef_ev_per_atom=-0.0666 space_group=P4/mbm pbc="T T T"
Ca 0.000 0.000 0.000
Ca 3.908 3.908 0.000
V 0.821 3.087 0.000
V 3.087 6.994 0.000
V 4.729 0.821 0.000
V 6.994 4.729 0.000
Pd 1.436 5.344 1.391
Pd 2.472 1.436 1.391
Pd 5.344 6.380 1.391
Pd 6.380 2.472 1.391

No. 3
18
Lattice="7.735 -3.942 0.000 7.735 3.942 0.000 0.000 0.000 8.332" Properties=species:S:1:pos:R:3 comment="La5Os2Cl2 | Alexandria via LeMat-Bulk | PBE-GGA | optimized geometry" density_g_cm3=7.490 formation_energy_uncorrected_ev_per_fu=-7.017 m_tot_mub_per_fu=0.000 space_group=Cmce pbc="T T T"
La 0.000 0.000 0.000
La 5.918 2.745 5.501
La 5.918 1.197 1.335
La 9.552 2.745 5.501
La 9.552 1.197 1.335
La 7.735 0.000 4.166
La 5.918 -1.197 6.996
La 5.918 -2.745 2.830
La 9.552 -1.197 6.996
La 9.552 -2.745 2.830
Os 7.735 2.797 3.044
Os 7.735 1.145 7.210
Os 7.735 -1.145 1.121
Os 7.735 -2.797 5.287
Cl 3.094 0.000 0.000
Cl 4.641 0.000 4.166
Cl 10.829 0.000 4.166
Cl 12.376 0.000 0.000

No. 4
14
Lattice="4.733 0.000 0.000 0.000 4.733 0.000 0.000 0.000 14.463" Properties=species:S:1:pos:R:3 comment="Sm4HRh2 | Alexandria via LeMat-Bulk | PBE-GGA | optimized geometry" e_tot_ev_per_cell=-80.62 density_g_cm3=8.285 m_tot_mub_per_fu=0.000 space_group=I4/mmm pbc="T T T"
Sm 0.000 0.000 2.754
Sm 0.000 0.000 11.709
Sm 0.000 2.366 0.000
Sm 0.000 2.366 7.232
Sm 2.366 0.000 0.000
Sm 2.366 0.000 7.232
Sm 2.366 2.366 4.478
Sm 2.366 2.366 9.985
H 0.000 0.000 0.000
H 2.366 2.366 7.232
Rh 0.000 0.000 5.421
Rh 0.000 0.000 9.042
Rh 2.366 2.366 1.810
Rh 2.366 2.366 12.653

No. 5
8
Lattice="7.939 0.000 0.000 0.000 4.427 0.000 -2.658 0.000 7.773" Properties=species:S:1:pos:R:3 comment="Ac4Te2PtS | Alexandria via LeMat-Bulk | PBE-GGA | optimized geometry" density_g_cm3=8.450 formation_energy_uncorrected_ev_per_fu=-12.288 m_tot_mub_per_fu=0.000 space_group=P2/m pbc="T T T"
Ac 1.233 0.000 1.656
Ac 0.016 2.214 6.041
Ac 5.265 2.214 1.732
Ac 4.048 0.000 6.118
Te -1.329 0.000 3.887
Te 2.640 2.214 3.887
Pt 0.000 2.214 0.000
S 3.969 0.000 0.000

No. 6
16
Lattice="7.256 0.000 0.000 0.000 7.256 0.000 0.000 0.000 7.256" Properties=species:S:1:pos:R:3 comment="GdTmCuSn | Alexandria via LeMat-Bulk | PBE-GGA | optimized geometry" density_g_cm3=8.839 m_tot_mub_per_fu=7.731 ef_ev_per_atom=-0.4327 space_group=F-43m pbc="T T T"
Gd 0.000 0.000 0.000
Gd 0.000 3.628 3.628
Gd 3.628 0.000 3.628
Gd 3.628 3.628 0.000
Tm 0.000 0.000 3.628
Tm 0.000 3.628 0.000
Tm 3.628 0.000 0.000
Tm 3.628 3.628 3.628
Cu 1.814 1.814 5.442
Cu 1.814 5.442 1.814
Cu 5.442 1.814 1.814
Cu 5.442 5.442 5.442
Sn 1.814 1.814 1.814
Sn 1.814 5.442 5.442
Sn 5.442 1.814 5.442
Sn 5.442 5.442 1.814